The following is a GGA-PBE calculation of crystalline TlV2Zn at its relaxed geometry, from the Alexandria database.

```
TlV2Zn
1.0
7.1920 0.0000 0.0000
0.0000 7.1920 0.0000
3.5960 3.5960 2.6899
Tl Zn V
2 2 4
Direct
0.0000 0.0000 0.0000 Tl
0.7500 0.2500 0.5000 Tl
0.5000 0.5000 0.0000 Zn
0.2500 0.7500 0.5000 Zn
0.6100 0.1250 0.2500 V
0.1400 0.6250 0.2500 V
0.3750 0.3900 0.7500 V
0.8750 0.8600 0.7500 V
```

As for the space-group type: I-42d, No. 122. Its energy is -37.91 eV/cell.